(1)
This record from the Alexandria database describes Tm4MnTe after structural relaxation. The functional is PBE.

Unit cell a=7.995 b=4.136 c=18.698 alpha=90.00 beta=90.00 gamma=90.00
Space group Pnma (No. 62)
Inequivalent atoms, fractional coordinates:
Tm1 0.007 0.250 0.065 (multiplicity 4)
Tm2 0.065 0.750 0.209 (multiplicity 4)
Tm3 0.122 0.750 0.643 (multiplicity 4)
Tm4 0.147 0.750 0.454 (multiplicity 4)
Mn1 0.249 0.250 0.559 (multiplicity 4)
Te1 0.243 0.750 0.808 (multiplicity 4)

Properties
As for the crystal system: orthorhombic. As for the uncorrected formation energy: -0.392 eV per atom.

---

(2)
This record from the Alexandria database describes La2Ga3Pd6 after structural relaxation. The functional is PBE.

Unit cell a=7.4637 b=7.4637 c=4.4842 alpha=90.00 beta=90.00 gamma=120.00
Space group P-62m (No. 189)
Inequivalent atoms, fractional coordinates:
La1 0.3333 0.6667 0.0000 (multiplicity 2)
Ga1 0.0000 0.6177 0.5000 (multiplicity 3)
Pd1 0.0000 0.2791 0.5000 (multiplicity 3)
Pd2 0.0000 0.7849 0.0000 (multiplicity 3)

Properties
As for the crystal system: hexagonal. As for the formation enthalpy at 0 K: -0.72 eV per atom.

---

(3)
This record from the Alexandria database describes SmClF after structural relaxation. The functional is PBE.

Unit cell a=3.643 b=3.643 c=9.274 alpha=90.00 beta=90.00 gamma=90.00
Space group P4/nmm (No. 129, origin choice 2)
Inequivalent atoms, fractional coordinates:
Sm1 0.250 0.250 0.185 (multiplicity 2)
Cl1 0.250 0.250 0.675 (multiplicity 2)
F1 0.250 0.750 0.000 (multiplicity 2)

Properties
As for the crystal system: tetragonal. As for the uncorrected formation energy: -2.578 eV per atom.

---

(4)
This record from the Alexandria database describes SmTmAgOs after structural relaxation. The functional is PBE.

Unit cell a=7.029 b=7.029 c=7.029 alpha=90.00 beta=90.00 gamma=90.00
Space group F-43m (No. 216)
Inequivalent atoms, fractional coordinates:
Sm1 0.000 0.000 0.000 (multiplicity 4)
Tm1 0.000 0.000 0.500 (multiplicity 4)
Ag1 0.250 0.250 0.250 (multiplicity 4)
Os1 0.250 0.250 0.750 (multiplicity 4)

Properties
As for the crystal system: cubic. As for the formation enthalpy at 0 K: -0.23 eV per atom.

---

(5)
This record from the Alexandria database describes Ba2MnNi after structural relaxation. The functional is PBE.

Unit cell a=5.526 b=5.526 c=3.984 alpha=90.00 beta=90.00 gamma=90.00
Space group P4/mmm (No. 123)
Inequivalent atoms, fractional coordinates:
Ba1 0.000 0.500 0.000 (multiplicity 2)
Mn1 0.000 0.000 0.500 (multiplicity 1)
Ni1 0.500 0.500 0.500 (multiplicity 1)

Properties
As for the crystal system: tetragonal. As for the formation enthalpy at 0 K: 0.51 eV per atom.

---

(6)
This record from the Alexandria database describes LiEr2Ge2Rh5 after structural relaxation. The functional is PBE.

Unit cell a=9.794 b=9.794 c=3.479 alpha=90.00 beta=90.00 gamma=90.00
Space group P4/mbm (No. 127)
Inequivalent atoms, fractional coordinates:
Li1 0.000 0.000 0.000 (multiplicity 2)
Er1 0.171 0.329 0.000 (multiplicity 4)
Ge1 0.129 0.629 0.000 (multiplicity 4)
Rh1 0.000 0.500 0.500 (multiplicity 2)
Rh2 0.066 0.795 0.500 (multiplicity 8)

Properties
As for the crystal system: tetragonal. As for the formation enthalpy at 0 K: -0.71 eV per atom.

---

(7)
This record from the Alexandria database describes Nd4ErTh3Se8 after structural relaxation. The functional is PBE.

Unit cell a=8.3664 b=8.3664 c=20.7070 alpha=90.00 beta=90.00 gamma=120.00
Space group R-3m (No. 166, hexagonal axes)
Inequivalent atoms, fractional coordinates:
Nd1 0.0000 0.0000 0.0000 (multiplicity 3)
Nd2 0.0000 0.5000 0.0000 (multiplicity 9)
Er1 0.0000 0.0000 0.5000 (multiplicity 3)
Th1 0.0000 0.5000 0.5000 (multiplicity 9)
Se1 0.0000 0.0000 0.2505 (multiplicity 6)
Se2 0.0082 0.5041 0.2480 (multiplicity 18)

Properties
As for the crystal system: trigonal. As for the uncorrected formation energy: -1.699 eV per atom.

---

(8)
This record from the Alexandria database describes AcTbI after structural relaxation. The functional is PBE.

Unit cell a=3.874 b=6.724 c=9.057 alpha=98.72 beta=90.11 gamma=106.71
Space group P-1 (No. 2)
Inequivalent atoms, fractional coordinates:
Ac1 0.172 0.342 0.146 (multiplicity 2)
Tb1 0.360 0.723 0.507 (multiplicity 2)
I1 0.447 0.893 0.188 (multiplicity 2)

Properties
As for the crystal system: triclinic. As for the uncorrected formation energy: -0.395 eV per atom.

---

(9)
This record from the Alexandria database describes Pm3TmPt2 after structural relaxation. The functional is PBE.

Unit cell a=4.843 b=9.042 c=7.274 alpha=90.00 beta=90.00 gamma=90.00
Space group Pmc2_1 (No. 26)
Inequivalent atoms, fractional coordinates:
Pm1 0.000 0.086 0.000 (multiplicity 2)
Pm2 0.000 0.339 0.361 (multiplicity 2)
Pm3 0.500 0.168 0.650 (multiplicity 2)
Tm1 0.500 0.413 0.011 (multiplicity 2)
Pt1 0.000 0.345 0.772 (multiplicity 2)
Pt2 0.500 0.164 0.243 (multiplicity 2)

Properties
As for the crystal system: orthorhombic. As for the formation enthalpy at 0 K: -0.86 eV per atom.

---

(10)
This record from the Alexandria database describes Mg4Zn2Hg5 after structural relaxation. The functional is PBE.

Unit cell a=7.533 b=3.252 c=9.503 alpha=90.00 beta=94.49 gamma=90.00
Space group P2/m (No. 10)
Inequivalent atoms, fractional coordinates:
Mg1 0.194 0.000 0.375 (multiplicity 2)
Mg2 0.260 0.000 0.924 (multiplicity 2)
Zn1 0.069 0.500 0.127 (multiplicity 2)
Hg1 0.150 0.500 0.648 (multiplicity 2)
Hg2 0.442 0.500 0.176 (multiplicity 2)
Hg3 0.500 0.500 0.500 (multiplicity 1)

Properties
As for the crystal system: monoclinic. As for the formation enthalpy at 0 K: -0.12 eV per atom.

---

(11)
This record from the Alexandria database describes Nd2Y3ThS6 after structural relaxation. The functional is PBE.

Unit cell a=17.474 b=3.968 c=8.028 alpha=90.00 beta=104.50 gamma=90.00
Space group C2/m (No. 12)
Inequivalent atoms, fractional coordinates:
Nd1 0.165 0.000 0.330 (multiplicity 4)
Y1 0.000 0.500 0.500 (multiplicity 2)
Y2 0.167 0.000 0.835 (multiplicity 4)
Th1 0.000 0.500 0.000 (multiplicity 2)
S1 0.004 0.000 0.743 (multiplicity 4)
S2 0.165 0.500 0.591 (multiplicity 4)
S3 0.170 0.500 0.075 (multiplicity 4)

Properties
As for the crystal system: monoclinic. As for the uncorrected formation energy: -1.973 eV per atom.

---

(12)
This record from the Alexandria database describes La2ErHg6 after structural relaxation. The functional is PBE.

Unit cell a=8.7702 b=8.7702 c=3.4997 alpha=90.00 beta=90.00 gamma=120.00
Space group P6/mmm (No. 191)
Inequivalent atoms, fractional coordinates:
La1 0.3333 0.6667 0.0000 (multiplicity 2)
Er1 0.0000 0.0000 0.0000 (multiplicity 1)
Hg1 0.0000 0.3289 0.5000 (multiplicity 6)

Properties
As for the crystal system: hexagonal. As for the formation enthalpy at 0 K: -0.43 eV per atom.

---

(13)
This record from the Alexandria database describes DyCuAs2O8 after structural relaxation. The functional is PBE.

Unit cell a=6.997 b=6.997 c=6.332 alpha=90.00 beta=90.00 gamma=90.00
Space group I-4m2 (No. 119)
Inequivalent atoms, fractional coordinates:
Dy1 0.000 0.000 0.000 (multiplicity 2)
Cu1 0.000 0.500 0.750 (multiplicity 2)
As1 0.000 0.000 0.500 (multiplicity 2)
As2 0.000 0.500 0.250 (multiplicity 2)
O1 0.000 0.186 0.681 (multiplicity 8)
O2 0.000 0.318 0.070 (multiplicity 8)

Properties
As for the crystal system: tetragonal. As for the uncorrected formation energy: -1.405 eV per atom.

---

(14)
This record from the Alexandria database describes Li4Ag3Hg8 after structural relaxation. The functional is PBE.

Unit cell a=11.327 b=11.366 c=5.930 alpha=90.00 beta=119.80 gamma=90.00
Space group C2/m (No. 12)
Inequivalent atoms, fractional coordinates:
Li1 0.000 0.000 0.000 (multiplicity 2)
Li2 0.000 0.000 0.500 (multiplicity 2)
Li3 0.250 0.250 0.000 (multiplicity 4)
Ag1 0.000 0.500 0.000 (multiplicity 2)
Ag2 0.250 0.250 0.500 (multiplicity 4)
Hg1 0.000 0.240 0.000 (multiplicity 4)
Hg2 0.000 0.340 0.500 (multiplicity 4)
Hg3 0.240 0.000 0.985 (multiplicity 4)
Hg4 0.245 0.000 0.489 (multiplicity 4)

Properties
As for the crystal system: monoclinic. As for the formation enthalpy at 0 K: -0.07 eV per atom.

---

(15)
This record from the Alexandria database describes CeEr2Tl3 after structural relaxation. The functional is PBE.

Unit cell a=3.600 b=3.600 c=12.732 alpha=90.00 beta=90.00 gamma=90.00
Space group P4/mmm (No. 123)
Inequivalent atoms, fractional coordinates:
Ce1 0.000 0.000 0.000 (multiplicity 1)
Er1 0.000 0.000 0.338 (multiplicity 2)
Tl1 0.500 0.500 0.176 (multiplicity 2)
Tl2 0.500 0.500 0.500 (multiplicity 1)

Properties
As for the crystal system: tetragonal. As for the formation enthalpy at 0 K: -0.29 eV per atom.

---

(16)
This record from the Alexandria database describes Mg3Pa6Se14 after structural relaxation. The functional is PBE.

Unit cell a=10.3065 b=10.3065 c=6.1772 alpha=90.00 beta=90.00 gamma=120.00
Space group P3 (No. 143)
Inequivalent atoms, fractional coordinates:
Mg1 0.0000 0.0000 0.0000 (multiplicity 1)
Mg2 0.3333 0.6667 0.4963 (multiplicity 1)
Mg3 0.6667 0.3333 0.1362 (multiplicity 1)
Pa1 0.0353 0.4718 0.9108 (multiplicity 3)
Pa2 0.2985 0.1924 0.4139 (multiplicity 3)
Se1 0.0000 0.0000 0.6019 (multiplicity 1)
Se2 0.0978 0.2571 0.1722 (multiplicity 3)
Se3 0.1720 0.7625 0.6694 (multiplicity 3)
Se4 0.3333 0.6667 0.0980 (multiplicity 1)
Se5 0.4145 0.2346 0.8923 (multiplicity 3)
Se6 0.5160 0.0813 0.3792 (multiplicity 3)

Properties
As for the crystal system: trigonal. As for the uncorrected formation energy: -1.233 eV per atom.

---

(17)
This record from the Alexandria database describes CsDyCuTe2 after structural relaxation. The functional is PBE.

Unit cell a=9.069 b=4.509 c=8.906 alpha=90.00 beta=94.35 gamma=90.00
Space group P2/c (No. 13)
Inequivalent atoms, fractional coordinates:
Cs1 0.000 0.105 0.250 (multiplicity 2)
Dy1 0.500 0.497 0.750 (multiplicity 2)
Cu1 0.500 0.000 0.000 (multiplicity 2)
Te1 0.280 0.366 0.984 (multiplicity 4)

Properties
As for the crystal system: monoclinic. As for the uncorrected formation energy: -0.764 eV per atom.

---

(18)
This record from the Alexandria database describes Sr2RePb after structural relaxation. The functional is PBE.

Unit cell a=3.705 b=3.705 c=9.151 alpha=90.00 beta=90.00 gamma=90.00
Space group P4mm (No. 99)
Inequivalent atoms, fractional coordinates:
Sr1 0.000 0.000 0.000 (multiplicity 1)
Sr2 0.500 0.500 0.400 (multiplicity 1)
Re1 0.500 0.500 0.771 (multiplicity 1)
Pb1 0.000 0.000 0.641 (multiplicity 1)

Properties
As for the crystal system: tetragonal. As for the formation enthalpy at 0 K: 0.52 eV per atom.

---

(19)
This record from the Alexandria database describes Li2Mg3Hg8 after structural relaxation. The functional is PBE.

Unit cell a=9.482 b=13.222 c=4.812 alpha=90.00 beta=90.00 gamma=90.00
Space group Cmmm (No. 65)
Inequivalent atoms, fractional coordinates:
Li1 0.000 0.245 0.000 (multiplicity 4)
Mg1 0.000 0.000 0.000 (multiplicity 2)
Mg2 0.244 0.500 0.500 (multiplicity 4)
Hg1 0.000 0.135 0.500 (multiplicity 4)
Hg2 0.000 0.365 0.500 (multiplicity 4)
Hg3 0.238 0.368 0.000 (multiplicity 8)

Properties
As for the crystal system: orthorhombic. As for the formation enthalpy at 0 K: -0.17 eV per atom.

---

(20)
This record from the Alexandria database describes CuPbCl4 after structural relaxation. The functional is PBE.

Unit cell a=9.119 b=9.119 c=8.328 alpha=90.00 beta=90.00 gamma=90.00
Space group I4_1/amd (No. 141, origin choice 2)
Inequivalent atoms, fractional coordinates:
Cu1 0.000 0.250 0.375 (multiplicity 4)
Pb1 0.000 0.250 0.875 (multiplicity 4)
Cl1 0.000 0.071 0.187 (multiplicity 16)

Properties
As for the crystal system: tetragonal. As for the uncorrected formation energy: -0.764 eV per atom.

---

(21)
This record from the Alexandria database describes TmPd3S4 after structural relaxation. The functional is PBE.

Unit cell a=6.679 b=6.679 c=6.679 alpha=90.00 beta=90.00 gamma=90.00
Space group Pm-3n (No. 223)
Inequivalent atoms, fractional coordinates:
Tm1 0.000 0.000 0.000 (multiplicity 2)
Pd1 0.000 0.250 0.500 (multiplicity 6)
S1 0.250 0.250 0.250 (multiplicity 8)

Properties
As for the crystal system: cubic. As for the uncorrected formation energy: -0.856 eV per atom.